(1)
9
Lattice="6.933 0.000 0.000 -3.467 6.004 0.000 0.000 0.000 2.456" Properties=species:S:1:pos:R:3 comment="Be2Re, relaxed, DFT PBE" e_form_ev_per_atom=0.29 pbc="T T T"
Be -1.064 1.843 0.000
Be -2.187 3.788 1.228
Be 2.128 0.000 0.000
Be 1.279 2.216 1.228
Be 4.374 0.000 1.228
Be 2.402 4.161 0.000
Re 0.000 0.000 1.228
Re 0.000 4.003 0.000
Re 3.467 2.001 0.000


(2)
6
Lattice="2.717 0.000 0.000 0.000 2.717 0.000 0.000 0.000 7.680" Properties=species:S:1:pos:R:3 comment="Be5Re, relaxed, DFT PBE" e_form_ev_per_atom=0.11 pbc="T T T"
Be 0.000 0.000 0.000
Be 0.000 0.000 2.337
Be 0.000 0.000 5.343
Be 1.359 1.359 1.193
Be 1.359 1.359 6.486
Re 1.359 1.359 3.840


(3)
3
Lattice="4.179 0.000 0.000 0.000 4.179 0.000 0.000 0.000 2.457" Properties=species:S:1:pos:R:3 comment="Be2Re, relaxed, DFT PBE" e_form_ev_per_atom=0.44 pbc="T T T"
Be 0.000 2.089 0.000
Be 2.089 0.000 0.000
Re 0.000 0.000 1.228


(4)
7
Lattice="-1.384 1.384 10.236 1.384 -1.384 10.236 1.384 1.384 -10.236" Properties=species:S:1:pos:R:3 comment="Be4Re3, relaxed, DFT PBE" e_form_ev_per_atom=0.02 pbc="T T T"
Be 0.000 0.000 1.586
Be 0.000 0.000 7.548
Be 0.000 0.000 12.923
Be 0.000 0.000 18.885
Re 0.000 0.000 4.205
Re 0.000 0.000 10.236
Re 0.000 0.000 16.267


(5)
13
Lattice="2.238 1.292 8.353 -2.238 1.292 8.353 0.000 -2.584 8.353" Properties=species:S:1:pos:R:3 comment="Be7Re6, relaxed, DFT PBE" e_form_ev_per_atom=-0.27 pbc="T T T"
Be 0.000 0.000 0.000
Be 0.000 -1.283 6.484
Be -1.111 0.642 6.484
Be -1.111 -0.642 18.575
Be 1.111 0.642 6.484
Be 1.111 -0.642 18.575
Be 0.000 1.283 18.575
Re 0.000 0.000 4.201
Re 0.000 0.000 8.806
Re 0.000 0.000 11.275
Re 0.000 0.000 13.784
Re 0.000 0.000 16.253
Re 0.000 0.000 20.859


(6)
4
Lattice="1.305 0.753 7.697 -1.305 0.753 7.697 0.000 -1.507 7.697" Properties=species:S:1:pos:R:3 comment="Be3Re, relaxed, DFT PBE" e_form_ev_per_atom=0.34 pbc="T T T"
Be 0.000 0.000 0.000
Be 0.000 0.000 5.860
Be 0.000 0.000 17.230
Re 0.000 0.000 11.545


Volume (Å³ per atom)
11.36; 9.45; 14.30; 11.21; 11.15; 11.35